Here is an optimized crystal structure of LiVF6 from Alexandria via LeMat-Bulk. Energies are from PBE with a Hubbard U.

Values from the calculation:
Electronic total energy = -5.203 eV per atom
Volume = 12.93 Å³ per atom

Geometry as POSCAR:
```
LiVF6
1.0
4.856 0.000 0.000
0.000 4.856 0.000
0.000 0.000 8.771
Li V F
2 2 12
Direct
0.000 0.000 0.000
0.500 0.500 0.500
0.000 0.000 0.646
0.500 0.500 0.146
0.177 0.177 0.800
0.197 0.197 0.508
0.235 0.235 0.138
0.265 0.735 0.638
0.303 0.697 0.008
0.323 0.677 0.300
0.677 0.323 0.300
0.697 0.303 0.008
0.735 0.265 0.638
0.765 0.765 0.138
0.803 0.803 0.508
0.823 0.823 0.800
```